*P*
This record from Alexandria via LeMat-Bulk describes an optimized crystal structure of CaCr2Ag. The functional is PBEsol.

N(E_F): 4.59 states/eV/f.u.
V: 19.45 Å³ per atom

The structure in CIF format:
```
data_CaCr2Ag
_cell_length_a 3.546
_cell_length_b 3.546
_cell_length_c 6.187
_cell_angle_alpha 90.00
_cell_angle_beta 90.00
_cell_angle_gamma 90.00
_symmetry_space_group_name_H-M 'P 4/m m m'
_symmetry_Int_Tables_number 123
_symmetry_space_group_name_Hall '-P 4 2'
loop_
_atom_site_label
_atom_site_fract_x
_atom_site_fract_y
_atom_site_fract_z
_atom_site_occupancy
Ca1 0.000 0.000 0.000 1
Cr1 0.500 0.500 0.352 1
Ag1 0.000 0.000 0.500 1
```


*Q*
This record from Alexandria via LeMat-Bulk describes an optimized crystal structure of CaCr2Ag. The functional is PBEsol.

N(E_F): 3.33 states/eV/f.u.
V: 18.56 Å³ per atom

The structure in CIF format:
```
data_CaCr2Ag
_cell_length_a 6.672
_cell_length_b 6.672
_cell_length_c 6.672
_cell_angle_alpha 90.00
_cell_angle_beta 90.00
_cell_angle_gamma 90.00
_symmetry_space_group_name_H-M 'F -4 3 m'
_symmetry_Int_Tables_number 216
_symmetry_space_group_name_Hall 'F -4 2 3'
loop_
_atom_site_label
_atom_site_fract_x
_atom_site_fract_y
_atom_site_fract_z
_atom_site_occupancy
Ca1 0.000 0.000 0.000 1
Cr1 0.000 0.000 0.500 1
Cr2 0.250 0.250 0.750 1
Ag1 0.250 0.250 0.250 1
```


*R*
This record from Alexandria via LeMat-Bulk describes an optimized crystal structure of CaCr2Ag. The functional is PBEsol.

N(E_F): 4.23 states/eV/f.u.
V: 18.55 Å³ per atom

The structure in CIF format:
```
data_CaCr2Ag
_cell_length_a 9.939
_cell_length_b 2.984
_cell_length_c 5.152
_cell_angle_alpha 90.00
_cell_angle_beta 103.81
_cell_angle_gamma 90.00
_symmetry_space_group_name_H-M 'C 1 2/m 1'
_symmetry_Int_Tables_number 12
_symmetry_space_group_name_Hall '-C 2y'
loop_
_atom_site_label
_atom_site_fract_x
_atom_site_fract_y
_atom_site_fract_z
_atom_site_occupancy
Ca1 0.000 0.000 0.000 1
Cr1 0.230 0.000 0.628 1
Ag1 0.000 0.500 0.500 1
```


Which of them is most stable, and which least? Most stable: *Q*; least stable: *P*.


*P*
This record from Alexandria via LeMat-Bulk describes an optimized crystal structure of Ca2CrAg. The functional is PBEsol.

N(E_F): 3.75 states/eV/f.u.
V: 26.06 Å³ per atom

The structure in CIF format:
```
data_Ca2CrAg
_cell_length_a 3.590
_cell_length_b 3.590
_cell_length_c 8.088
_cell_angle_alpha 90.00
_cell_angle_beta 90.00
_cell_angle_gamma 90.00
_symmetry_space_group_name_H-M 'P 4 m m'
_symmetry_Int_Tables_number 99
_symmetry_space_group_name_Hall 'P 4 -2'
loop_
_atom_site_label
_atom_site_fract_x
_atom_site_fract_y
_atom_site_fract_z
_atom_site_occupancy
Ca1 0.000 0.000 0.000 1
Ca2 0.500 0.500 0.371 1
Cr1 0.000 0.000 0.620 1
Ag1 0.500 0.500 0.764 1
```


*Q*
This record from Alexandria via LeMat-Bulk describes an optimized crystal structure of Ca2CrAg. The functional is PBEsol.

N(E_F): 3.24 states/eV/f.u.
V: 26.89 Å³ per atom

The structure in CIF format:
```
data_Ca2CrAg
_cell_length_a 3.6545
_cell_length_b 3.6545
_cell_length_c 27.8992
_cell_angle_alpha 90.00
_cell_angle_beta 90.00
_cell_angle_gamma 120.00
_symmetry_space_group_name_H-M 'R -3 m'
_symmetry_Int_Tables_number 166
_symmetry_space_group_name_Hall '-R 3 2"'
loop_
_atom_site_label
_atom_site_fract_x
_atom_site_fract_y
_atom_site_fract_z
_atom_site_occupancy
Ca1 0.0000 0.0000 0.2455 1
Cr1 0.0000 0.0000 0.0000 1
Ag1 0.0000 0.0000 0.5000 1
```


Which of them is most stable, and which least? Most stable: *P*; least stable: *Q*.


*P*
This record from Alexandria via LeMat-Bulk describes an optimized crystal structure of Ca2FeAg. The functional is PBEsol.

N(E_F): 6.51 states/eV/f.u.
V: 21.33 Å³ per atom

The structure in CIF format:
```
data_Ca2FeAg
_cell_length_a 6.988
_cell_length_b 6.988
_cell_length_c 6.988
_cell_angle_alpha 90.00
_cell_angle_beta 90.00
_cell_angle_gamma 90.00
_symmetry_space_group_name_H-M 'F -4 3 m'
_symmetry_Int_Tables_number 216
_symmetry_space_group_name_Hall 'F -4 2 3'
loop_
_atom_site_label
_atom_site_fract_x
_atom_site_fract_y
_atom_site_fract_z
_atom_site_occupancy
Ca1 0.000 0.000 0.000 1
Ca2 0.250 0.250 0.250 1
Fe1 0.250 0.250 0.750 1
Ag1 0.000 0.000 0.500 1
```


*Q*
This record from Alexandria via LeMat-Bulk describes an optimized crystal structure of Ca2FeAg. The functional is PBEsol.

N(E_F): 5.94 states/eV/f.u.
V: 22.37 Å³ per atom

The structure in CIF format:
```
data_Ca2FeAg
_cell_length_a 3.491
_cell_length_b 3.491
_cell_length_c 7.344
_cell_angle_alpha 90.00
_cell_angle_beta 90.00
_cell_angle_gamma 90.00
_symmetry_space_group_name_H-M 'P 4/m m m'
_symmetry_Int_Tables_number 123
_symmetry_space_group_name_Hall '-P 4 2'
loop_
_atom_site_label
_atom_site_fract_x
_atom_site_fract_y
_atom_site_fract_z
_atom_site_occupancy
Ca1 0.000 0.000 0.240 1
Fe1 0.500 0.500 0.000 1
Ag1 0.500 0.500 0.500 1
```


Which of them is most stable, and which least? Most stable: *Q*; least stable: *P*.


*P*
This record from Alexandria via LeMat-Bulk describes an optimized crystal structure of CaAgIr2. The functional is PBEsol.

N(E_F): 4.02 states/eV/f.u.
V: 17.39 Å³ per atom

The structure in CIF format:
```
data_CaAgIr2
_cell_length_a 2.868
_cell_length_b 4.789
_cell_length_c 10.130
_cell_angle_alpha 90.00
_cell_angle_beta 90.00
_cell_angle_gamma 90.00
_symmetry_space_group_name_H-M 'I m m 2'
_symmetry_Int_Tables_number 44
_symmetry_space_group_name_Hall 'I 2 -2'
loop_
_atom_site_label
_atom_site_fract_x
_atom_site_fract_y
_atom_site_fract_z
_atom_site_occupancy
Ca1 0.000 0.000 0.000 1
Ag1 0.000 0.500 0.218 1
Ir1 0.000 0.000 0.481 1
Ir2 0.000 0.500 0.773 1
```


*Q*
This record from Alexandria via LeMat-Bulk describes an optimized crystal structure of CaAgIr2. The functional is PBEsol.

N(E_F): 4.26 states/eV/f.u.
V: 18.03 Å³ per atom

The structure in CIF format:
```
data_CaAgIr2
_cell_length_a 3.187
_cell_length_b 3.187
_cell_length_c 7.100
_cell_angle_alpha 90.00
_cell_angle_beta 90.00
_cell_angle_gamma 90.00
_symmetry_space_group_name_H-M 'P 4 m m'
_symmetry_Int_Tables_number 99
_symmetry_space_group_name_Hall 'P 4 -2'
loop_
_atom_site_label
_atom_site_fract_x
_atom_site_fract_y
_atom_site_fract_z
_atom_site_occupancy
Ca1 0.000 0.000 0.000 1
Ag1 0.500 0.500 0.696 1
Ir1 0.000 0.000 0.462 1
Ir2 0.500 0.500 0.284 1
```


Which of them is most stable, and which least? Most stable: *P*; least stable: *Q*.